Here is CdRe2Ag after structural relaxation from the Alexandria database. Energies are from GGA-PBEsol.

abc: 2.662 4.598 5.244
angles: 90.00 90.00 90.00
Atoms (fractional coordinates):
Cd (0.000, 0.000, 0.000)
Re (0.500, 0.500, 0.253)
Re (0.500, 0.500, 0.747)
Ag (0.000, 0.000, 0.500)

The space group is No. 47.

Here is BaSrZn2 after structural relaxation from the Alexandria database. Energies are from GGA-PBEsol.

abc: 5.300 5.300 5.300
angles: 120.09 120.09 89.84
Atoms (fractional coordinates):
Ba (0.000, 0.000, 0.000)
Sr (0.750, 0.250, 0.500)
Zn (0.250, 0.750, 0.500)
Zn (0.500, 0.500, 0.000)

The space group is No. 119.

Here is CuMoRh2 after structural relaxation from the Alexandria database. Energies are from GGA-PBEsol.

abc: 4.536 4.536 4.536
angles: 129.92 129.92 73.53
Atoms (fractional coordinates):
Cu (0.000, 0.000, 0.000)
Mo (0.500, 0.500, 0.000)
Rh (0.250, 0.750, 0.500)
Rh (0.750, 0.250, 0.500)

The value obtained for the relative energy among the computed polymorphs is 0.000 eV/atom. The space group is No. 139.

Here is YMgP after structural relaxation from the Alexandria database. Energies are from GGA-PBEsol.

abc: 4.483 4.483 4.483
angles: 60.00 60.00 60.00
Atoms (fractional coordinates):
Y (0.000, 0.000, 0.000)
Mg (0.250, 0.250, 0.250)
P (0.500, 0.500, 0.500)

The value obtained for the relative energy among the computed polymorphs is 0.546 eV/atom. The space group is No. 216.

Results for formation energy from the elements: 0.767 0.044 -0.125 -0.002 (in eV per atom, following the order of the records).
Results for total magnetization: 0.000 0.000 0.000 0.000 (in μB per atom, following the order of the records).
Results for mass density: 15.33 5.62 11.33 3.76 (in Mg/m³, following the order of the records).